Compound: Ta2RhPb
Source: the Alexandria database
Functional: PBE-GGA
Structure: relaxed

POSCAR file:
```
Ta2RhPb
1.0
-2.640 -2.105 -1.311
2.659 -1.304 -3.261
1.479 -3.469 2.593
Rh Pb Ta
1 1 2
Cartesian
2.069 -2.386 -0.334
-0.581 -2.787 0.641
0.009 -1.704 -2.286
0.000 0.000 0.000
```

## Properties
ΔH_f (0 K) = 0.111 eV/atom